Mn3Be2 | Alexandria | PBE | optimized geometry; crystal system = orthorhombic; energy relative to the elements = 0.037 eV/atom; space-group type = Fdd2, No. 43; energy = -69.552 eV per cell
1.0
0.0000 3.9461 5.7849
2.1600 0.0000 5.7849
2.1600 3.9461 0.0000
Mn Be
6 4
Direct
0.7070 0.4904 0.3209 Mn
0.4817 0.3209 0.4904 Mn
0.7596 0.5430 0.7683 Mn
0.9291 0.7683 0.5430 Mn
0.0937 0.9063 0.9063 Mn
0.3437 0.1563 0.1563 Mn
0.1635 0.9295 0.3530 Be
0.5540 0.3530 0.9295 Be
0.3205 0.0865 0.6960 Be
0.8970 0.6960 0.0865 Be


AgAu3 | Alexandria | PBE | optimized geometry; crystal system = tetragonal; energy relative to the elements = -0.026 eV/atom; space-group type = P4/mmm, No. 123; energy = -12.788 eV per cell; relative energy among the computed polymorphs = 8.8 meV/atom
1.0
-1.5974 2.7882 -2.7156
0.0093 -2.9329 -3.0169
-3.7587 -1.1119 1.0694
Au Ag
3 1
Direct
0.0000 0.0000 0.0833 Au
0.0000 0.5000 0.5834 Au
0.5000 0.5000 0.0833 Au
0.5000 0.0000 0.5833 Ag